# Rb12Au5Se3 | the Alexandria database | PBE | relaxed
data_Rb12Au5Se3
_chemical_formula_sum 'Rb96 Au40 Se24'
_cell_length_a 20.082
_cell_length_b 20.082
_cell_length_c 20.082
_cell_angle_alpha 90.00
_cell_angle_beta 90.00
_cell_angle_gamma 90.00
_symmetry_space_group_name_H-M 'I a -3 d'
_symmetry_Int_Tables_number 230
_symmetry_space_group_name_Hall '-I 4bd 2c 3'
loop_
_atom_site_label
_atom_site_fract_x
_atom_site_fract_y
_atom_site_fract_z
Rb1 0.016 0.075 0.655
Au1 0.000 0.000 0.000
Au2 0.000 0.250 0.375
Se1 0.000 0.250 0.125
# Final energy (eV per atom): -2.434
# DOS at the Fermi energy (states/eV/f.u.): 6.90
# Mass density (g cm⁻³): 3.686

***

# Pm15Pr4Sm | the Alexandria database | PBE | relaxed
data_Pm15Pr4Sm
_chemical_formula_sum 'Pm15 Pr4 Sm1'
_cell_length_a 5.183
_cell_length_b 5.183
_cell_length_c 25.868
_cell_angle_alpha 90.00
_cell_angle_beta 90.00
_cell_angle_gamma 90.00
_symmetry_space_group_name_H-M 'P 4/m m m'
_symmetry_Int_Tables_number 123
_symmetry_space_group_name_Hall '-P 4 2'
loop_
_atom_site_label
_atom_site_fract_x
_atom_site_fract_y
_atom_site_fract_z
Pm1 0.000 0.000 0.000
Pm2 0.000 0.000 0.199
Pm3 0.000 0.000 0.400
Pm4 0.000 0.500 0.099
Pm5 0.000 0.500 0.300
Pm6 0.000 0.500 0.500
Pr1 0.500 0.500 0.199
Pr2 0.500 0.500 0.400
Sm1 0.500 0.500 0.000
# Final energy (eV per atom): -4.740
# DOS at the Fermi energy (states/eV/f.u.): 29.34
# ΔE_f (meV per atom): 15
# Mass density (g cm⁻³): 6.903

***

- What is the DOS at the Fermi energy in the second record?
  29.34 states/eV/f.u.

***

- Look up the DOS at the Fermi energy of the first one.
  6.90 states/eV/f.u.

***

- Which value of mass density does entry 2 give?
  6.903 g cm⁻³

***

- Which value of final energy does entry 2 give?
  -4.740 eV per atom